one:
Below is a relaxed PbAuCl2 crystal, with properties calculated at the GGA-PBE level.

a = 10.260 Å, b = 4.300 Å, c = 4.978 Å
α = 90.00°, β = 94.82°, γ = 90.00°
Space group C2/m (No. 12)
Symmetry-distinct sites (fractional):
Pb  0.000  0.000  0.000 [2 per cell]
Au  0.000  0.500  0.500 [2 per cell]
Cl  0.186  0.500  0.239 [4 per cell]

Values from the calculation:
* total magnetic moment: 0.00 μB per cell

***

two:
Below is a relaxed PbAuCl2 crystal, with properties calculated at the GGA-PBE level.

a = 3.6678 Å, b = 3.6678 Å, c = 25.3266 Å
α = 90.00°, β = 90.00°, γ = 120.00°
Space group R-3m (No. 166, hexagonal axes)
Symmetry-distinct sites (fractional):
Pb  0.0000  0.0000  0.0000 [3 per cell]
Au  0.0000  0.0000  0.5000 [3 per cell]
Cl  0.0000  0.0000  0.2371 [6 per cell]

Values from the calculation:
* total magnetic moment: 0.00 μB per cell

***

Verdict on stability: two comes out at the bottom.

***

one:
Below is a relaxed PbAuCl2 crystal, with properties calculated at the GGA-PBE level.

a = 3.791 Å, b = 3.791 Å, c = 6.776 Å
α = 90.00°, β = 90.00°, γ = 90.00°
Space group P4/mmm (No. 123)
Symmetry-distinct sites (fractional):
Pb  0.000  0.000  0.000 [1 per cell]
Au  0.000  0.000  0.500 [1 per cell]
Cl  0.500  0.500  0.240 [2 per cell]

Values from the calculation:
* total magnetic moment: 0.00 μB per cell

***

two:
Below is a relaxed PbAuCl2 crystal, with properties calculated at the GGA-PBE level.

a = 3.6584 Å, b = 3.6584 Å, c = 27.8889 Å
α = 90.00°, β = 90.00°, γ = 120.00°
Space group R-3m (No. 166, hexagonal axes)
Symmetry-distinct sites (fractional):
Pb  0.0000  0.0000  0.0000 [3 per cell]
Au  0.0000  0.0000  0.5000 [3 per cell]
Cl  0.0000  0.0000  0.4170 [6 per cell]

Values from the calculation:
* total magnetic moment: 0.00 μB per cell

***

three:
Below is a relaxed PbAuCl2 crystal, with properties calculated at the GGA-PBE level.

a = 4.912 Å, b = 4.912 Å, c = 18.135 Å
α = 90.00°, β = 90.00°, γ = 90.00°
Space group I-42d (No. 122)
Symmetry-distinct sites (fractional):
Pb  0.000  0.000  0.000 [4 per cell]
Au  0.000  0.000  0.500 [4 per cell]
Cl  0.223  0.250  0.625 [8 per cell]

Values from the calculation:
* total magnetic moment: 0.00 μB per cell

***

four:
Below is a relaxed PbAuCl2 crystal, with properties calculated at the GGA-PBE level.

a = 3.433 Å, b = 4.257 Å, c = 7.396 Å
α = 90.00°, β = 99.92°, γ = 90.00°
Space group P2/m (No. 10)
Symmetry-distinct sites (fractional):
Pb  0.000  0.000  0.000 [1 per cell]
Au  0.000  0.000  0.500 [1 per cell]
Cl  0.049  0.500  0.275 [2 per cell]

Values from the calculation:
* total magnetic moment: 0.00 μB per cell

***

Verdict on stability: one comes out at the bottom.

***

one:
Below is a relaxed PbAuCl2 crystal, with properties calculated at the GGA-PBE level.

a = 5.291 Å, b = 4.248 Å, c = 5.589 Å
α = 90.00°, β = 118.07°, γ = 90.00°
Space group Pm (No. 6)
Symmetry-distinct sites (fractional):
Pb  0.000  0.000  0.000 [1 per cell]
Au  0.199  0.500  0.395 [1 per cell]
Cl  0.396  0.000  0.792 [1 per cell]
Cl  0.718  0.500  0.434 [1 per cell]

Values from the calculation:
* total magnetic moment: 0.00 μB per cell

***

two:
Below is a relaxed PbAuCl2 crystal, with properties calculated at the GGA-PBE level.

a = 4.395 Å, b = 5.959 Å, c = 8.340 Å
α = 90.00°, β = 90.00°, γ = 90.00°
Space group Cmm2 (No. 35)
Symmetry-distinct sites (fractional):
Pb  0.000  0.000  0.000 [2 per cell]
Au  0.000  0.500  0.766 [2 per cell]
Cl  0.000  0.000  0.608 [2 per cell]
Cl  0.000  0.500  0.226 [2 per cell]

Values from the calculation:
* total magnetic moment: 0.00 μB per cell

***

Verdict on stability: two comes out at the bottom.

***

one:
Below is a relaxed PbAuCl6 crystal, with properties calculated at the GGA-PBE level.

a = 5.918 Å, b = 7.058 Å, c = 7.528 Å
α = 64.25°, β = 70.88°, γ = 86.00°
Space group P-1 (No. 2)
Symmetry-distinct sites (fractional):
Pb  0.000  0.000  0.000 [1 per cell]
Au  0.500  0.500  0.000 [1 per cell]
Cl  0.023  0.783  0.370 [2 per cell]
Cl  0.291  0.396  0.838 [2 per cell]
Cl  0.438  0.848  0.805 [2 per cell]

Values from the calculation:
* total magnetic moment: 1.01 μB per cell

***

two:
Below is a relaxed PbAuCl6 crystal, with properties calculated at the GGA-PBE level.

a = 7.984 Å, b = 7.954 Å, c = 8.001 Å
α = 90.00°, β = 96.96°, γ = 90.00°
Space group C2/m (No. 12)
Symmetry-distinct sites (fractional):
Pb  0.000  0.000  0.000 [2 per cell]
Au  0.000  0.000  0.500 [2 per cell]
Cl  0.050  0.208  0.308 [8 per cell]
Cl  0.172  0.500  0.013 [4 per cell]

Values from the calculation:
* total magnetic moment: 0.00 μB per cell

***

Verdict on stability: one comes out at the bottom.

***

one:
Below is a relaxed PbAu3Cl crystal, with properties calculated at the GGA-PBE level.

a = 5.382 Å, b = 5.382 Å, c = 5.382 Å
α = 90.00°, β = 90.00°, γ = 90.00°
Space group Pm-3m (No. 221)
Symmetry-distinct sites (fractional):
Pb  0.000  0.000  0.000 [1 per cell]
Au  0.000  0.000  0.500 [3 per cell]
Cl  0.500  0.500  0.500 [1 per cell]

Values from the calculation:
* total magnetic moment: 0.00 μB per cell

***

two:
Below is a relaxed PbAu3Cl crystal, with properties calculated at the GGA-PBE level.

a = 5.040 Å, b = 5.040 Å, c = 5.040 Å
α = 90.00°, β = 90.00°, γ = 90.00°
Space group Pm-3m (No. 221)
Symmetry-distinct sites (fractional):
Pb  0.000  0.000  0.000 [1 per cell]
Au  0.000  0.500  0.500 [3 per cell]
Cl  0.500  0.500  0.500 [1 per cell]

Values from the calculation:
* total magnetic moment: 0.00 μB per cell

***

Verdict on stability: two comes out at the bottom.

***

one:
Below is a relaxed PbAu2Cl6 crystal, with properties calculated at the GGA-PBE level.

a = 12.214 Å, b = 13.727 Å, c = 7.454 Å
α = 90.00°, β = 116.98°, γ = 90.00°
Space group C2/c (No. 15)
Symmetry-distinct sites (fractional):
Pb  0.000  0.112  0.250 [4 per cell]
Au  0.136  0.413  0.136 [8 per cell]
Cl  0.091  0.413  0.570 [8 per cell]
Cl  0.142  0.061  0.680 [8 per cell]
Cl  0.151  0.239  0.167 [8 per cell]

Values from the calculation:
* total magnetic moment: 0.00 μB per cell

***

two:
Below is a relaxed PbAu2Cl6 crystal, with properties calculated at the GGA-PBE level.

a = 14.056 Å, b = 11.292 Å, c = 7.390 Å
α = 90.00°, β = 92.26°, γ = 90.00°
Space group C2/c (No. 15)
Symmetry-distinct sites (fractional):
Pb  0.000  0.087  0.250 [4 per cell]
Au  0.144  0.399  0.398 [8 per cell]
Cl  0.108  0.085  0.584 [8 per cell]
Cl  0.126  0.280  0.141 [8 per cell]
Cl  0.149  0.415  0.707 [8 per cell]

Values from the calculation:
* total magnetic moment: 0.00 μB per cell

***

Verdict on stability: two comes out at the bottom.

***

one:
Below is a relaxed SrPbAuCl crystal, with properties calculated at the GGA-PBE level.

a = 7.834 Å, b = 4.281 Å, c = 8.717 Å
α = 90.00°, β = 107.30°, γ = 90.00°
Space group Cm (No. 8)
Symmetry-distinct sites (fractional):
Sr  0.000  0.000  0.000 [2 per cell]
Pb  0.018  0.500  0.600 [2 per cell]
Au  0.247  0.000  0.752 [2 per cell]
Cl  0.231  0.500  0.174 [2 per cell]

Values from the calculation:
* total magnetic moment: 0.00 μB per cell

***

two:
Below is a relaxed SrPbAuCl crystal, with properties calculated at the GGA-PBE level.

a = 4.066 Å, b = 3.954 Å, c = 7.746 Å
α = 90.00°, β = 105.15°, γ = 90.00°
Space group Pm (No. 6)
Symmetry-distinct sites (fractional):
Sr  0.000  0.000  0.000 [1 per cell]
Pb  0.726  0.000  0.453 [1 per cell]
Au  0.166  0.500  0.332 [1 per cell]
Cl  0.436  0.500  0.872 [1 per cell]

Values from the calculation:
* total magnetic moment: 0.00 μB per cell

***

Verdict on stability: two comes out at the bottom.

***

one:
Below is a relaxed PdAu2Cl crystal, with properties calculated at the GGA-PBE level.

a = 7.774 Å, b = 7.774 Å, c = 5.293 Å
α = 90.00°, β = 90.00°, γ = 90.00°
Space group I-42d (No. 122)
Symmetry-distinct sites (fractional):
Pd  0.000  0.000  0.000 [4 per cell]
Au  0.236  0.250  0.125 [8 per cell]
Cl  0.000  0.000  0.500 [4 per cell]

Values from the calculation:
* total magnetic moment: 0.00 μB per cell

***

two:
Below is a relaxed PdAu2Cl crystal, with properties calculated at the GGA-PBE level.

a = 6.631 Å, b = 6.631 Å, c = 6.631 Å
α = 90.00°, β = 90.00°, γ = 90.00°
Space group Fm-3m (No. 225)
Symmetry-distinct sites (fractional):
Pd  0.000  0.000  0.000 [4 per cell]
Au  0.250  0.250  0.250 [8 per cell]
Cl  0.000  0.000  0.500 [4 per cell]

Values from the calculation:
* total magnetic moment: 0.00 μB per cell

***

Verdict on stability: two comes out at the bottom.

***

one:
Below is a relaxed PdAuCl2 crystal, with properties calculated at the GGA-PBE level.

a = 6.934 Å, b = 6.934 Å, c = 6.868 Å
α = 90.00°, β = 90.00°, γ = 90.00°
Space group I-42d (No. 122)
Symmetry-distinct sites (fractional):
Pd  0.000  0.000  0.000 [4 per cell]
Au  0.000  0.000  0.500 [4 per cell]
Cl  0.233  0.750  0.125 [8 per cell]

Values from the calculation:
* total magnetic moment: 4.00 μB per cell

***

two:
Below is a relaxed PdAuCl2 crystal, with properties calculated at the GGA-PBE level.

a = 6.687 Å, b = 6.687 Å, c = 6.687 Å
α = 90.00°, β = 90.00°, γ = 90.00°
Space group Fm-3m (No. 225)
Symmetry-distinct sites (fractional):
Pd  0.000  0.000  0.000 [4 per cell]
Au  0.000  0.000  0.500 [4 per cell]
Cl  0.250  0.250  0.250 [8 per cell]

Values from the calculation:
* total magnetic moment: 4.06 μB per cell

***

Verdict on stability: two comes out at the bottom.

***

one:
Below is a relaxed PdAuCl2 crystal, with properties calculated at the GGA-PBE level.

a = 3.5604 Å, b = 3.5604 Å, c = 24.4830 Å
α = 90.00°, β = 90.00°, γ = 120.00°
Space group R-3m (No. 166, hexagonal axes)
Symmetry-distinct sites (fractional):
Pd  0.0000  0.0000  0.0000 [3 per cell]
Au  0.0000  0.0000  0.5000 [3 per cell]
Cl  0.0000  0.0000  0.0940 [6 per cell]

Values from the calculation:
* total magnetic moment: 0.00 μB per cell

***

two:
Below is a relaxed PdAuCl2 crystal, with properties calculated at the GGA-PBE level.

a = 3.9490 Å, b = 3.9490 Å, c = 22.0069 Å
α = 90.00°, β = 90.00°, γ = 120.00°
Space group R-3m (No. 166, hexagonal axes)
Symmetry-distinct sites (fractional):
Pd  0.0000  0.0000  0.0000 [3 per cell]
Au  0.0000  0.0000  0.5000 [3 per cell]
Cl  0.0000  0.0000  0.3947 [6 per cell]

Values from the calculation:
* total magnetic moment: 3.00 μB per cell

***

Verdict on stability: one comes out at the bottom.

***

one:
Below is a relaxed PdAu2Cl6 crystal, with properties calculated at the GGA-PBE level.

a = 12.934 Å, b = 11.407 Å, c = 7.128 Å
α = 90.00°, β = 100.66°, γ = 90.00°
Space group C2/c (No. 15)
Symmetry-distinct sites (fractional):
Pd  0.000  0.001  0.250 [4 per cell]
Au  0.247  0.426  0.400 [8 per cell]
Cl  0.128  0.145  0.800 [8 per cell]
Cl  0.128  0.147  0.314 [8 per cell]
Cl  0.133  0.500  0.110 [8 per cell]

Values from the calculation:
* total magnetic moment: 3.96 μB per cell

***

two:
Below is a relaxed PdAu2Cl6 crystal, with properties calculated at the GGA-PBE level.

a = 14.718 Å, b = 11.254 Å, c = 6.575 Å
α = 90.00°, β = 112.26°, γ = 90.00°
Space group C2/c (No. 15)
Symmetry-distinct sites (fractional):
Pd  0.000  0.080  0.250 [4 per cell]
Au  0.111  0.429  0.370 [8 per cell]
Cl  0.096  0.067  0.002 [8 per cell]
Cl  0.108  0.225  0.479 [8 per cell]
Cl  0.134  0.380  0.017 [8 per cell]

Values from the calculation:
* total magnetic moment: 2.69 μB per cell

***

Verdict on stability: two comes out at the bottom.

***

one:
Below is a relaxed Pm2AuCl crystal, with properties calculated at the GGA-PBE level.

a = 4.2844 Å, b = 4.2844 Å, c = 20.2313 Å
α = 90.00°, β = 90.00°, γ = 120.00°
Space group R-3m (No. 166, hexagonal axes)
Symmetry-distinct sites (fractional):
Pm  0.0000  0.0000  0.2489 [6 per cell]
Au  0.0000  0.0000  0.5000 [3 per cell]
Cl  0.0000  0.0000  0.0000 [3 per cell]

Values from the calculation:
* total magnetic moment: 0.00 μB per cell

***

two:
Below is a relaxed Pm2AuCl crystal, with properties calculated at the GGA-PBE level.

a = 3.487 Å, b = 3.487 Å, c = 8.199 Å
α = 90.00°, β = 90.00°, γ = 90.00°
Space group P4/mmm (No. 123)
Symmetry-distinct sites (fractional):
Pm  0.000  0.000  0.233 [2 per cell]
Au  0.500  0.500  0.000 [1 per cell]
Cl  0.500  0.500  0.500 [1 per cell]

Values from the calculation:
* total magnetic moment: 0.00 μB per cell

***

Verdict on stability: two comes out at the bottom.